The following is a DFT calculation (PBE) of La2InW after structural relaxation.

a = 5.1989 Å, b = 5.1989 Å, c = 5.1989 Å
α = 60.00°, β = 60.00°, γ = 60.00°
Last column: nearest neighbours and their distance in Å.
Fractional positions:
1 W 0.7500 0.7500 0.7500  4 In 3.18, 4 La 3.18
2 In 0.5000 0.5000 0.5000  4 La 3.18, 4 W 3.18
3 La 0.2500 0.2500 0.2500  4 La 3.18, 4 In 3.18
4 La 0.0000 0.0000 0.0000  4 W 3.18, 4 La 3.18

Computed properties:
Density   9634 kg/m³
Energy of formation   0.41 eV per atom

The following is a DFT calculation (PBE) of Ce2AlS2O2 after structural relaxation.

a = 3.7164 Å, b = 5.8455 Å, c = 6.5091 Å
α = 66.02°, β = 73.41°, γ = 71.46°
Last column: nearest neighbours and their distance in Å.
Fractional positions:
1 S 0.4490 0.8033 0.2987  2 Al 2.59
2 Ce 0.1808 0.3533 0.2852  3 O 2.39-2.42
3 O 0.1795 0.7133 0.9277  1 Al 1.80
4 S 0.5510 0.1967 0.7013  2 Al 2.59
5 O 0.8205 0.2867 0.0723  1 Al 1.80
6 Ce 0.8192 0.6467 0.7148  3 O 2.39-2.42
7 Al 0.0000 0.0000 0.0000  2 O 1.80

Computed properties:
Raw formation energy   -2.343 eV/atom
Density   5559 kg/m³

The following is a DFT calculation (PBE) of Ba2WCl after structural relaxation.

a = 6.0701 Å, b = 6.0701 Å, c = 6.0701 Å
α = 132.22°, β = 112.10°, γ = 87.24°
Last column: nearest neighbours and their distance in Å.
Fractional positions:
1 Ba 0.9847 0.9847 0.0000  2 Cl 3.21, 2 W 3.39
2 Ba 0.5153 0.5153 0.0000  2 Cl 3.21, 2 W 3.39
3 Cl 0.7500 0.2500 0.5000  4 Ba 3.21
4 W 0.2500 0.7500 0.5000  4 Ba 3.39

Computed properties:
Energy relative to the lowest polymorph listed for this composition   319.0 meV/atom
Raw formation energy   0.472 eV/atom
Density   5600 kg/m³

The N(E_F) results, record by record, are as follows: 1.52; 1.58; 1.02 states/eV per atom.